Entry 1:
Density functional theory data (PBE) for Sc5CoAg2 after structural relaxation.

Output
Total energy = -92.58 eV per cell

Lattice parameters (Å, degrees): 6.2739 11.0127 4.6755 90.00 90.00 90.00
Space group Pbam (No. 55)
Inequivalent atoms, fractional coordinates:
1 Sc 0.0000 0.0000 0.0000 (multiplicity 2)
2 Sc 0.1319 0.2917 0.0000 (multiplicity 4)
3 Sc 0.1678 0.5937 0.5000 (multiplicity 4)
4 Co 0.0000 0.5000 0.0000 (multiplicity 2)
5 Ag 0.1073 0.8525 0.5000 (multiplicity 4)

Entry 2:
Density functional theory data (PBE) for Sc6Co2Ag after structural relaxation.

Output
Total energy = -229.32 eV per cell

Lattice parameters (Å, degrees): 8.7130 8.8041 9.2659 90.00 90.00 90.00
Space group Immm (No. 71)
Inequivalent atoms, fractional coordinates:
1 Sc 0.0000 0.2050 0.2386 (multiplicity 8)
2 Sc 0.1942 0.5000 0.1759 (multiplicity 8)
3 Sc 0.2181 0.3150 0.5000 (multiplicity 8)
4 Co 0.0000 0.3444 0.0000 (multiplicity 4)
5 Co 0.0000 0.5000 0.3787 (multiplicity 4)
6 Ag 0.0000 0.0000 0.0000 (multiplicity 2)
7 Ag 0.0000 0.0000 0.5000 (multiplicity 2)

Entry 3:
Density functional theory data (PBE) for Sc2CoAg after structural relaxation.

Output
Total energy = -46.30 eV per cell

Lattice parameters (Å, degrees): 3.1361 4.5473 10.2063 90.00 90.00 90.00
Space group Imm2 (No. 44)
Inequivalent atoms, fractional coordinates:
1 Sc 0.0000 0.0000 0.0000 (multiplicity 2)
2 Sc 0.0000 0.5000 0.2017 (multiplicity 2)
3 Co 0.0000 0.5000 0.7017 (multiplicity 2)
4 Ag 0.0000 0.0000 0.4184 (multiplicity 2)

Entry 4:
Density functional theory data (PBE) for ScCo2Ag after structural relaxation.

Output
Total energy = -23.33 eV per cell

Lattice parameters (Å, degrees): 3.0330 3.0330 6.6479 90.00 90.00 90.00
Space group P4mm (No. 99)
Inequivalent atoms, fractional coordinates:
1 Sc 0.0000 0.0000 0.0000 (multiplicity 1)
2 Co 0.0000 0.0000 0.5772 (multiplicity 1)
3 Co 0.5000 0.5000 0.7421 (multiplicity 1)
4 Ag 0.5000 0.5000 0.3157 (multiplicity 1)

Entry 5:
Density functional theory data (PBE) for Sc12Co6Ag after structural relaxation.

Output
Total energy = -252.85 eV per cell

Lattice parameters (Å, degrees): 8.9568 8.9568 8.9568 90.00 90.00 90.00
Space group Im-3 (No. 204)
Inequivalent atoms, fractional coordinates:
1 Sc 0.0000 0.2960 0.1975 (multiplicity 24)
2 Co 0.0000 0.1206 0.5000 (multiplicity 12)
3 Ag 0.0000 0.0000 0.0000 (multiplicity 2)

Entry 6:
Density functional theory data (PBE) for Sc2CoAg after structural relaxation.

Output
Total energy = -23.96 eV per cell

Lattice parameters (Å, degrees): 3.1274 3.1274 7.2662 90.00 90.00 90.00
Space group P4/mmm (No. 123)
Inequivalent atoms, fractional coordinates:
1 Sc 0.0000 0.0000 0.2129 (multiplicity 2)
2 Co 0.5000 0.5000 0.0000 (multiplicity 1)
3 Ag 0.5000 0.5000 0.5000 (multiplicity 1)

Entry 7:
Density functional theory data (PBE) for Sc2CoAg after structural relaxation.

Output
Total energy = -89.33 eV per cell

Lattice parameters (Å, degrees): 7.2132 7.2132 5.8053 90.00 90.00 90.00
Space group I-42d (No. 122)
Inequivalent atoms, fractional coordinates:
1 Sc 0.2029 0.2500 0.1250 (multiplicity 8)
2 Co 0.0000 0.0000 0.0000 (multiplicity 4)
3 Ag 0.0000 0.0000 0.5000 (multiplicity 4)

Entry 8:
Density functional theory data (PBE) for ScCoAg after structural relaxation.

Output
Total energy = -33.35 eV per cell

Lattice parameters (Å, degrees): 3.2498 3.2752 9.3884 90.00 90.00 90.00
Space group Pmmn (No. 59, origin choice 2)
Inequivalent atoms, fractional coordinates:
1 Sc 0.2500 0.2500 0.2198 (multiplicity 2)
2 Co 0.2500 0.2500 0.9379 (multiplicity 2)
3 Ag 0.2500 0.2500 0.5910 (multiplicity 2)

Total magnetization across the listed records, respectively: 0.00; 0.00; 0.17; 2.99; 0.00; 0.33; 0.00; 1.33 μB per formula unit.